(1)
K2ScBr, relaxed, DFT GGA-PBE; space-group type = No. 139; excess energy over the best structure of this formula in the dataset = 464.6 meV per atom; M_tot = 1.752 μB per formula unit; E_form (uncorrected) = 101 meV per atom
1.0
5.2775 0.0000 0.0000
0.0000 5.2775 0.0000
0.0000 0.0000 11.7010
K Sc Br
4 2 2
Cartesian
0.0000 2.6387 2.9252
0.0000 2.6387 8.7757
2.6387 0.0000 2.9252
2.6387 0.0000 8.7757
0.0000 0.0000 0.0000
2.6387 2.6387 5.8505
0.0000 0.0000 5.8505
2.6387 2.6387 0.0000

=====

(2)
Ho2MgIn8, relaxed, DFT GGA-PBE; space-group type = No. 123; M_tot = 0.000 μB per formula unit; formation energy from the elements = -259 meV/atom
1.0
4.8485 0.0000 0.0000
0.0000 4.8485 0.0000
0.0000 0.0000 11.9648
Ho Mg In
2 1 8
Cartesian
0.0000 0.0000 2.2179
0.0000 0.0000 9.7469
0.0000 0.0000 5.9824
0.0000 2.4242 0.0000
0.0000 2.4242 4.3586
0.0000 2.4242 7.6062
2.4242 0.0000 0.0000
2.4242 0.0000 4.3586
2.4242 0.0000 7.6062
2.4242 2.4242 2.2180
2.4242 2.4242 9.7468

=====

(3)
CsSrZnRu2, relaxed, DFT GGA-PBE; space-group type = No. 123; M_tot = 0.446 μB per formula unit; formation energy from the elements = 1743 meV/atom
1.0
5.0033 0.0000 0.0000
0.0000 5.0033 0.0000
0.0000 0.0000 5.7596
Cs Sr Zn Ru
1 1 1 2
Cartesian
0.0000 0.0000 0.0000
2.5017 2.5017 2.8798
0.0000 0.0000 2.8798
0.0000 2.5017 0.0000
2.5017 0.0000 0.0000

=====

(4)
Ca2ScMo, relaxed, DFT GGA-PBE; space-group type = No. 122; excess energy over the best structure of this formula in the dataset = 572.2 meV per atom; M_tot = 0.001 μB per formula unit; formation energy from the elements = 913 meV/atom
1.0
4.2595 0.0000 0.0000
0.0000 4.2595 0.0000
0.0000 0.0000 22.4082
Ca Sc Mo
8 4 4
Cartesian
1.0059 1.0649 2.8010
1.0649 3.1357 8.4031
1.0649 3.2536 19.6072
1.1239 1.0649 14.0051
3.1357 3.1946 14.0051
3.1946 1.0059 19.6072
3.1946 1.1239 8.4031
3.2536 3.1946 2.8010
0.0000 0.0000 11.2041
0.0000 2.1298 16.8062
2.1298 0.0000 5.6021
2.1298 2.1298 0.0000
0.0000 0.0000 0.0000
0.0000 2.1298 5.6021
2.1298 0.0000 16.8062
2.1298 2.1298 11.2041

=====

(5)
Eu2BiSe, relaxed, DFT GGA-PBE; space-group type = No. 166; excess energy over the best structure of this formula in the dataset = 0.0 meV per atom; M_tot = 13.710 μB per formula unit; E_form (uncorrected) = -1361 meV per atom
1.0
4.3739 0.0000 0.0000
-2.1870 3.7880 0.0000
0.0000 0.0000 23.4509
Eu Bi Se
6 3 3
Cartesian
0.0000 0.0000 5.6684
0.0000 0.0000 17.7825
0.0000 2.5253 9.9655
0.0000 2.5253 21.3024
2.1870 1.2626 2.1486
2.1870 1.2626 13.4854
0.0000 0.0000 0.0000
0.0000 2.5253 15.6340
2.1870 1.2626 7.8170
0.0000 0.0000 11.7255
0.0000 2.5253 3.9085
2.1870 1.2626 19.5424

=====

(6)
K2LaTe, relaxed, DFT GGA-PBE; space-group type = No. 122; M_tot = 1.097 μB per formula unit; E_form (uncorrected) = -289 meV per atom
1.0
11.5109 0.0000 0.0000
0.0000 11.5109 0.0000
0.0000 0.0000 6.2590
K La Te
8 4 4
Cartesian
1.7943 2.8777 0.7824
2.8777 7.5498 2.3471
2.8777 9.7166 5.4767
3.9611 2.8777 3.9119
7.5498 8.6332 3.9119
8.6332 1.7943 5.4767
8.6332 3.9611 2.3471
9.7166 8.6332 0.7824
0.0000 0.0000 3.1295
0.0000 5.7555 4.6943
5.7555 0.0000 1.5648
5.7555 5.7555 0.0000
0.0000 0.0000 0.0000
0.0000 5.7555 1.5648
5.7555 0.0000 4.6943
5.7555 5.7555 3.1295

=====

(7)
Ba2Hg2Sb, relaxed, DFT GGA-PBE; space-group type = No. 12; excess energy over the best structure of this formula in the dataset = 17.1 meV per atom; M_tot = 0.000 μB per formula unit; E_form (uncorrected) = -639 meV per atom
1.0
8.7967 0.0000 0.0000
0.0000 5.0723 0.0000
-0.0087 0.0000 9.4747
Ba Hg Sb
4 4 2
Cartesian
1.4650 0.0000 2.9133
2.9246 2.5362 6.5614
5.8633 2.5362 2.9133
7.3230 0.0000 6.5614
1.4539 0.0000 8.7888
2.9357 2.5362 0.6859
5.8523 2.5362 8.7888
7.3340 0.0000 0.6859
-0.0044 2.5362 4.7373
4.3940 0.0000 4.7373

=====

(8)
K3InF6, relaxed, DFT GGA-PBE; space-group type = No. 14; M_tot = 0.290 μB per formula unit; E_form (uncorrected) = -2763 meV per atom
1.0
6.3096 0.0000 0.0000
0.0000 6.5596 0.0000
-6.2037 0.0000 8.9897
K In F
6 2 12
Cartesian
0.0000 0.0000 0.0000
-3.1019 3.2798 4.4948
-3.1799 0.3443 6.6934
-0.0781 2.9355 2.1986
0.1840 3.6241 6.7911
3.2858 6.2153 2.2963
0.0529 0.0000 4.4948
3.1548 3.2798 0.0000
-1.6625 1.1568 4.0733
-4.7643 2.1230 8.5681
-1.0149 4.8293 3.8664
-4.1167 5.0100 8.3612
0.7255 0.3580 2.5174
-2.3763 2.9218 7.0122
2.4822 3.6378 1.9774
-0.6196 6.2016 6.4723
4.2226 1.5496 0.6284
1.1208 1.7302 5.1233
4.8702 4.4366 0.4215
1.7684 5.4027 4.9164

=====

(9)
CaTbZnGa, relaxed, DFT GGA-PBE; space-group type = No. 216; M_tot = 0.000 μB per formula unit; formation energy from the elements = -422 meV/atom
1.0
7.2413 0.0000 0.0000
0.0000 7.2413 0.0000
0.0000 0.0000 7.2413
Ca Tb Zn Ga
4 4 4 4
Cartesian
0.0000 0.0000 0.0000
0.0000 3.6206 3.6206
3.6206 0.0000 3.6206
3.6206 3.6206 0.0000
0.0000 0.0000 3.6206
0.0000 3.6206 0.0000
3.6206 0.0000 0.0000
3.6206 3.6206 3.6206
1.8103 1.8103 1.8103
1.8103 5.4309 5.4309
5.4309 1.8103 5.4309
5.4309 5.4309 1.8103
1.8103 1.8103 5.4309
1.8103 5.4309 1.8103
5.4309 1.8103 1.8103
5.4309 5.4309 5.4309

=====

(10)
TlB3As, relaxed, DFT GGA-PBE; space-group type = No. 221; excess energy over the best structure of this formula in the dataset = 761.9 meV per atom; M_tot = 0.000 μB per formula unit; formation energy from the elements = 2529 meV/atom
1.0
4.5228 0.0000 0.0000
0.0000 4.5228 0.0000
0.0000 0.0000 4.5228
Tl B As
1 3 1
Cartesian
0.0000 0.0000 0.0000
0.0000 0.0000 2.2614
0.0000 2.2614 0.0000
2.2614 0.0000 0.0000
2.2614 2.2614 2.2614

=====

(11)
KNa4Pb4, relaxed, DFT GGA-PBE; space-group type = No. 137; M_tot = 0.000 μB per formula unit; formation energy from the elements = -141 meV/atom
1.0
10.8570 0.0000 0.0000
0.0000 10.8570 0.0000
0.0000 0.0000 4.8939
K Na Pb
2 8 8
Cartesian
2.7143 8.1428 1.2235
8.1428 2.7143 3.6704
0.8232 2.7143 3.6497
2.7143 0.8232 1.2027
2.7143 4.6053 1.2027
4.6053 2.7143 3.6497
6.2517 8.1428 1.2442
8.1428 6.2517 3.6911
8.1428 10.0339 3.6911
10.0339 8.1428 1.2442
0.7349 6.1634 3.6704
0.7349 10.1222 3.6704
4.6936 6.1634 3.6704
4.6936 10.1222 3.6704
6.1634 0.7349 1.2235
6.1634 4.6936 1.2235
10.1222 0.7349 1.2235
10.1222 4.6936 1.2235

=====

(12)
ThHgPd, relaxed, DFT GGA-PBE; space-group type = No. 129; M_tot = 0.000 μB per formula unit; formation energy from the elements = -540 meV/atom
1.0
4.2850 0.0000 0.0000
0.0000 4.2850 0.0000
0.0000 0.0000 7.8692
Th Hg Pd
2 2 2
Cartesian
1.0712 1.0712 1.3034
3.2137 3.2137 6.5658
1.0712 3.2137 3.9346
3.2137 1.0712 3.9346
1.0712 1.0712 6.2026
3.2137 3.2137 1.6666

=====

(13)
LaTlOs2, relaxed, DFT GGA-PBE; space-group type = No. 47; excess energy over the best structure of this formula in the dataset = 452.4 meV per atom; M_tot = 0.000 μB per formula unit; formation energy from the elements = 723 meV/atom
1.0
3.0913 0.0000 0.0000
0.0000 4.2809 0.0000
0.0000 0.0000 6.3978
La Tl Os
1 1 2
Cartesian
0.0000 0.0000 0.0000
0.0000 0.0000 3.1989
1.5457 2.1404 1.9563
1.5457 2.1404 4.4415

=====

(14)
TbSmTm2In4, relaxed, DFT GGA-PBE; space-group type = No. 166; M_tot = 0.000 μB per formula unit; formation energy from the elements = -453 meV/atom
1.0
2.6578 1.5345 8.7027
-2.6578 1.5345 8.7027
0.0000 -3.0689 8.7027
Tb Sm Tm In
1 1 2 4
Cartesian
0.0000 0.0000 0.0000
0.0000 0.0000 13.0540
0.0000 0.0000 6.5304
0.0000 0.0000 19.5777
0.0000 0.0000 3.2447
0.0000 0.0000 9.7740
0.0000 0.0000 16.3340
0.0000 0.0000 22.8634

=====

(15)
Tl2CoPCl, relaxed, DFT GGA-PBE; space-group type = No. 123; M_tot = 2.403 μB per formula unit; E_form (uncorrected) = 632 meV per atom
1.0
5.9794 0.0000 0.0000
0.0000 5.9794 0.0000
0.0000 0.0000 4.0791
Tl Co P Cl
2 1 1 1
Cartesian
0.0000 2.9897 0.0000
2.9897 0.0000 0.0000
0.0000 0.0000 2.0395
2.9897 2.9897 2.0395
0.0000 0.0000 0.0000

=====

(16)
LiCu8Rh2, relaxed, DFT GGA-PBE; space-group type = No. 12; M_tot = 0.000 μB per formula unit; formation energy from the elements = 161 meV/atom
1.0
3.7672 -4.8773 0.0000
3.7672 4.8773 0.0000
-0.0104 0.0000 4.0528
Li Cu Rh
1 8 2
Cartesian
0.0000 0.0000 0.0000
1.2359 1.2908 2.0299
3.7672 2.5466 0.0000
1.2359 -1.2908 2.0299
2.5050 0.0000 4.0516
5.0191 0.0000 0.0012
6.2881 1.2908 2.0229
3.7672 -2.5466 0.0000
6.2881 -1.2908 2.0229
3.7620 1.2577 2.0264
3.7620 -1.2577 2.0264

=====

(17)
Tb6PmDy, relaxed, DFT GGA-PBE; space-group type = No. 123; excess energy over the best structure of this formula in the dataset = 0.0 meV per atom; M_tot = 0.000 μB per formula unit; formation energy from the elements = 19 meV/atom
1.0
5.0480 0.0000 0.0000
0.0000 5.0480 0.0000
0.0000 0.0000 10.0928
Tb Pm Dy
6 1 1
Cartesian
0.0000 0.0000 0.0000
0.0000 0.0000 5.0464
0.0000 2.5240 2.5067
0.0000 2.5240 7.5861
2.5240 0.0000 2.5067
2.5240 0.0000 7.5861
2.5240 2.5240 5.0464
2.5240 2.5240 0.0000

=====

(18)
Na2LiPuCl8, relaxed, DFT GGA-PBE; space-group type = No. 10; M_tot = 2.936 μB per formula unit; E_form (uncorrected) = -1551 meV per atom
1.0
6.2839 0.0000 0.0000
0.0000 8.4376 0.0000
-0.7931 0.0000 6.5177
Na Li Pu Cl
2 1 1 8
Cartesian
0.0000 1.8601 0.0000
0.0000 6.5775 0.0000
2.7454 0.0000 3.2589
2.7454 4.2188 3.2589
1.2953 4.2188 1.1510
1.3369 0.0000 1.4088
1.3009 2.4084 4.2670
1.3009 6.0292 4.2670
4.1898 2.4084 2.2507
4.1898 6.0292 2.2507
4.1538 0.0000 5.1089
4.1955 4.2188 5.3668

=====

(19)
TmSnHgI6, relaxed, DFT GGA-PBE; space-group type = No. 149; M_tot = 0.000 μB per formula unit; E_form (uncorrected) = -746 meV per atom
1.0
7.6461 0.0000 0.0000
-3.8230 6.6217 0.0000
0.0000 0.0000 9.1871
Tm Sn Hg I
1 1 1 6
Cartesian
0.0000 0.0000 0.0000
3.8231 2.2072 0.0000
0.0000 4.4145 4.5936
2.4416 0.1169 1.7584
1.3221 2.0560 7.4287
5.2045 0.1169 7.4287
2.7035 4.4487 1.7584
6.3240 2.0560 1.7584
4.9426 4.4487 7.4287

=====

(20)
K16Rb4Na3, relaxed, DFT GGA-PBE; space-group type = No. 123; M_tot = 0.000 μB per formula unit; formation energy from the elements = 39 meV/atom
1.0
9.6345 0.0000 0.0000
0.0000 9.6345 0.0000
0.0000 0.0000 18.2637
K Rb Na
16 4 3
Cartesian
0.0000 0.0000 3.5578
0.0000 0.0000 14.7059
2.1971 2.1971 0.0000
2.1971 7.4374 0.0000
2.3817 2.3817 6.8766
2.3817 2.3817 11.3870
2.3817 7.2528 6.8766
2.3817 7.2528 11.3870
4.8172 4.8172 3.7510
4.8172 4.8172 14.5127
7.2528 2.3817 6.8766
7.2528 2.3817 11.3870
7.2528 7.2528 6.8766
7.2528 7.2528 11.3870
7.4374 2.1971 0.0000
7.4374 7.4374 0.0000
0.0000 4.8172 3.3918
0.0000 4.8172 14.8719
4.8172 0.0000 3.3918
4.8172 0.0000 14.8719
0.0000 4.8172 9.1318
4.8172 0.0000 9.1318
4.8172 4.8172 0.0000

=====

The records above give, respectively, E_tot values of -2.449, -3.228, -2.729, -4.378, -8.340, -2.855, -2.354, -4.488, -3.155, -2.881, -2.497, -4.844, -6.715, -4.108, -3.187, -4.329, -4.622, -4.356, -2.754, -1.065 eV/atom.